VASP calculation (PBE) on Y2Re2Si2C after structural relaxation.

Summary:
Raw formation energy ... -0.63 eV/atom
Space group ... C2/m, No. 12
Total DFT energy (no corrections) ... -8.898 eV/atom
Density ... 8.49 g/cm3
Total moment ... 0.00 μB per formula unit

Unit cell a=4.0026 b=5.8363 c=5.9951 alpha=71.95 beta=70.45 gamma=69.90
Last column: nearest neighbours and their distance in Å.
Element x y z (fractional)
Y  0.5729  0.1554  0.6997  2 C 2.64
Si  0.1420  0.3985  0.3170  3 Re 2.46-2.48, 1 Si 2.55
Re  0.7931  0.3217  0.0924  1 C 1.95
Re  0.2069  0.6783  0.9076  1 C 1.95
Si  0.8580  0.6015  0.6830  3 Re 2.46-2.48, 1 Si 2.55
Y  0.4271  0.8446  0.3003  2 C 2.64
C  0.0000  0.0000  0.0000  2 Re 1.95